# 1
BaAlSeS2 | PBE | relaxed

The structure in POSCAR format:
```
BaAlSeS2
1.0
-1.283 1.873 -3.890
-10.847 -1.190 3.004
0.088 4.069 1.930
Se Ba Al S
1 1 1 2
Direct
0.500 0.500 0.500
0.000 0.500 0.000
0.000 0.000 0.000
0.500 0.000 0.000
0.000 0.000 0.500
```

Values from the calculation:
- uncorrected formation energy (kJ/mol of atoms) = -65.1
- total DFT energy (no corrections) (eV per atom) = -4.155
- V (Å³/f.u.) = 229.63
- space group = No. 123



# 2
Ba2SmAlS5 | PBE | relaxed

The structure in POSCAR format:
```
Ba2SmAlS5
1.0
-0.693 3.334 -2.279
-8.259 -1.366 4.198
3.835 7.655 10.035
S Ba Sm Al
10 4 2 2
Direct
0.703 0.405 0.171
0.349 0.697 0.011
0.297 0.595 0.671
0.679 0.358 0.881
0.502 0.003 0.277
0.498 0.997 0.777
0.651 0.303 0.511
0.321 0.642 0.381
0.040 0.080 0.013
0.960 0.920 0.513
0.118 0.236 0.685
0.882 0.764 0.185
0.872 0.745 0.832
0.128 0.255 0.332
0.202 0.405 0.031
0.798 0.595 0.531
0.443 0.886 0.423
0.557 0.114 0.923
```

Values from the calculation:
- uncorrected formation energy (kJ/mol of atoms) = -178.4
- total DFT energy (no corrections) (eV per atom) = -5.509
- V (Å³/f.u.) = 246.98
- space group = No. 36



# 3
Ba2AlSnS5 | PBE | relaxed

The structure in POSCAR format:
```
Ba2AlSnS5
1.0
4.046 0.000 0.000
-2.023 9.102 0.000
0.000 0.000 13.109
S Ba Al Sn
10 4 2 2
Direct
0.321 0.641 0.383
0.961 0.923 0.519
0.290 0.579 0.668
0.498 0.996 0.781
0.347 0.694 0.006
0.679 0.359 0.883
0.653 0.306 0.506
0.710 0.421 0.168
0.039 0.077 0.019
0.502 0.004 0.281
0.114 0.228 0.683
0.886 0.772 0.183
0.870 0.740 0.824
0.130 0.260 0.324
0.442 0.885 0.429
0.558 0.115 0.929
0.792 0.584 0.531
0.208 0.416 0.031
```

Values from the calculation:
- uncorrected formation energy (kJ/mol of atoms) = -130.1
- total DFT energy (no corrections) (eV per atom) = -4.930
- V (Å³/f.u.) = 241.37
- space group = No. 36